! PBE BaSiSe2N, optimized geometry; values from VASP
&SYSTEM
  ibrav = 0, nat = 5, ntyp = 4
/
ATOMIC_SPECIES
Ba 137.33 Ba.upf
Si 28.09 Si.upf
Se 78.96 Se.upf
N 14.01 N.upf
CELL_PARAMETERS angstrom
5.556 0.000 0.000
0.000 5.556 0.000
0.000 0.000 3.427
ATOMIC_POSITIONS crystal
Ba 0.000 0.000 0.000
Si 0.500 0.500 0.500
Se 0.000 0.500 0.500
Se 0.500 0.000 0.500
N 0.500 0.500 0.000
! Space group: P4/mmm, No. 123
! Uncorrected formation energy, eV/atom: -0.518
! Relative energy among the computed polymorphs, kcal/mol of atoms: 0.00
! DOS at the Fermi energy, states/eV per cell: 1.950